1.
{
  "formula": "KCd2W",
  "functional": "PBEsol",
  "state": "optimized geometry",
  "lattice": [[2.917, 0.000, 0.000], [-1.458, 2.526, 0.000], [0.000, 0.000, 33.504]],
  "species": ["K", "K", "K", "Cd", "Cd", "Cd", "Cd", "Cd", "Cd", "W", "W", "W"],
  "frac_coords": [[0.000, 0.000, 0.000], [0.333, 0.667, 0.667], [0.667, 0.333, 0.333], [0.000, 0.000, 0.241], [0.000, 0.000, 0.496], [0.333, 0.667, 0.162], [0.333, 0.667, 0.908], [0.667, 0.333, 0.574], [0.667, 0.333, 0.829], [0.000, 0.000, 0.756], [0.333, 0.667, 0.423], [0.667, 0.333, 0.090]],
  "final_energy_ev_per_cell": -43.2,
  "relative_energy_ev_per_atom": 0.120
}

2.
{
  "formula": "KCd2W",
  "functional": "PBEsol",
  "state": "optimized geometry",
  "lattice": [[2.825, 0.000, 0.000], [0.000, 2.825, 0.000], [0.000, 0.000, 10.651]],
  "species": ["K", "Cd", "Cd", "W"],
  "frac_coords": [[0.000, 0.000, 0.000], [0.000, 0.000, 0.481], [0.500, 0.500, 0.718], [0.500, 0.500, 0.276]],
  "final_energy_ev_per_cell": -14.4,
  "relative_energy_ev_per_atom": 0.130
}

3.
{
  "formula": "KCd2W",
  "functional": "PBEsol",
  "state": "optimized geometry",
  "lattice": [[2.848, 0.000, 0.000], [0.000, 2.848, 0.000], [0.000, 0.000, 10.382]],
  "species": ["K", "Cd", "Cd", "W"],
  "frac_coords": [[0.000, 0.000, 0.000], [0.500, 0.500, 0.287], [0.500, 0.500, 0.713], [0.000, 0.000, 0.500]],
  "final_energy_ev_per_cell": -14.9,
  "relative_energy_ev_per_atom": 0.000
}

4.
{
  "formula": "KCd2W",
  "functional": "PBEsol",
  "state": "optimized geometry",
  "lattice": [[5.406, 0.000, 0.000], [0.000, 5.406, 0.000], [0.000, 0.000, 2.808]],
  "species": ["K", "Cd", "Cd", "W"],
  "frac_coords": [[0.000, 0.000, 0.000], [0.000, 0.500, 0.500], [0.500, 0.000, 0.500], [0.500, 0.500, 0.000]],
  "final_energy_ev_per_cell": -14.3,
  "relative_energy_ev_per_atom": 0.154
}

Formation energy from the elements values, unit eV/atom, following the record order: 0.730 0.740 0.611 0.765.